No. 1
VASP calculation (PBE) on crystalline CuBr2 at its relaxed geometry.

Cell: 6.5426 6.5426 4.8424 Å, 90.00 90.00 120.00°
Last column: nearest neighbours and their distance in Å.
Positions (direct):
Cu1 0.3333 0.6667 0.2500  2 Br 2.42
Cu2 0.6667 0.3333 0.7500  2 Br 2.42
Br1 0.0000 0.0000 0.0000  2 Br 2.42
Br2 0.0000 0.0000 0.5000  2 Br 2.42
Br3 0.3333 0.6667 0.7500  2 Cu 2.42
Br4 0.6667 0.3333 0.2500  2 Cu 2.42

Computed properties:
Density of states at the Fermi level, states/eV per cell: 9.81
SG: P6_3/mmc (194)
DFT total energy, eV per atom: -2.33
ΔE_f (raw), eV/atom: 0.15
Volume, Å³ per atom: 29.92


No. 2
VASP calculation (PBE) on crystalline CuBr2 at its relaxed geometry.

Cell: 7.2323 7.2323 10.0319 Å, 127.07 127.07 27.89°
Last column: nearest neighbours and their distance in Å.
Positions (direct):
Cu1 0.2063 0.2063 0.2739  4 Br 2.41-2.42
Cu2 0.7937 0.7937 0.7261  4 Br 2.41-2.42
Br1 0.1866 0.1866 0.7503  2 Cu 2.41
Br2 0.4087 0.4087 0.7152  2 Cu 2.42
Br3 0.5913 0.5913 0.2848  2 Cu 2.42
Br4 0.8134 0.8134 0.2497  2 Cu 2.41

Computed properties:
Density of states at the Fermi level, states/eV per cell: 2.65
SG: C2/m (12)
DFT total energy, eV per atom: -2.77
ΔE_f (raw), eV/atom: -0.29
Volume, Å³ per atom: 32.06


No. 3
VASP calculation (PBE) on crystalline CuBr3 at its relaxed geometry.

Cell: 11.0131 11.0131 2.8498 Å, 90.00 90.00 120.00°
Last column: nearest neighbours and their distance in Å.
Positions (direct):
Cu1 0.3333 0.6667 0.2500  6 Br 2.61, 2 Cu 2.85
Cu2 0.6667 0.3333 0.7500  6 Br 2.61, 2 Cu 2.85
Br1 0.2185 0.4371 0.7500  2 Cu 2.61, 2 Br 2.85
Br2 0.2185 0.7815 0.7500  2 Cu 2.61, 2 Br 2.85
Br3 0.4371 0.2185 0.2500  2 Cu 2.61, 2 Br 2.85
Br4 0.5629 0.7815 0.7500  2 Cu 2.61, 2 Br 2.85
Br5 0.7815 0.2185 0.2500  2 Cu 2.61, 2 Br 2.85
Br6 0.7815 0.5629 0.2500  2 Cu 2.61, 2 Br 2.85

Computed properties:
Density of states at the Fermi level, states/eV per cell: 5.71
SG: P6_3/mmc (194)
DFT total energy, eV per atom: -2.33
ΔE_f (raw), eV/atom: -0.05
Volume, Å³ per atom: 37.42


No. 4
VASP calculation (PBE) on crystalline Cu2Br3 at its relaxed geometry.

Cell: 4.8906 4.8906 6.5088 Å, 90.00 90.00 90.00°
Last column: nearest neighbours and their distance in Å.
Positions (direct):
Cu1 0.0000 0.0000 0.0000  1 Br 2.29
Cu2 0.5000 0.5000 0.2258  4 Br 2.48
Br1 0.0000 0.0000 0.6480  1 Cu 2.29
Br2 0.0000 0.5000 0.1644  4 Cu 2.48-2.67
Br3 0.5000 0.0000 0.1644  4 Cu 2.48-2.67

Computed properties:
Density of states at the Fermi level, states/eV per cell: 5.75
SG: P4mm (99)
DFT total energy, eV per atom: -2.74
ΔE_f (raw), eV/atom: -0.10
Volume, Å³ per atom: 31.14
Excess energy over the best structure of this formula in the dataset, meV per atom: 215.3


No. 5
VASP calculation (PBE) on crystalline CuBr3 at its relaxed geometry.

Cell: 3.6595 3.6595 8.5361 Å, 90.00 90.00 120.00°
Last column: nearest neighbours and their distance in Å.
Positions (direct):
Cu1 0.0000 0.0000 0.0000  6 Br 2.63
Br1 0.0000 0.0000 0.5000  12 Br 3.43-3.66
Br2 0.3333 0.6667 0.1829  3 Cu 2.63
Br3 0.3333 0.6667 0.8171  3 Cu 2.63

Computed properties:
Density of states at the Fermi level, states/eV per cell: 6.34
SG: P-6m2 (187)
DFT total energy, eV per atom: -2.14
ΔE_f (raw), eV/atom: 0.14
Volume, Å³ per atom: 24.75


No. 6
VASP calculation (PBE) on crystalline Cu2Br3 at its relaxed geometry.

Cell: 4.0184 4.0184 17.9373 Å, 90.00 90.00 120.00°
Last column: nearest neighbours and their distance in Å.
Positions (direct):
Cu1 0.0000 0.0000 0.0000  6 Br 2.68
Cu2 0.0000 0.0000 0.5000  6 Br 2.68
Cu3 0.3333 0.6667 0.2500  3 Br 2.32
Cu4 0.6667 0.3333 0.7500  3 Br 2.32
Br1 0.0000 0.0000 0.2500  3 Cu 2.32
Br2 0.0000 0.0000 0.7500  3 Cu 2.32
Br3 0.3333 0.6667 0.0749  3 Cu 2.68
Br4 0.3333 0.6667 0.4251  3 Cu 2.68
Br5 0.6667 0.3333 0.5749  3 Cu 2.68
Br6 0.6667 0.3333 0.9251  3 Cu 2.68

Computed properties:
Density of states at the Fermi level, states/eV per cell: 14.96
SG: P6_3/mmc (194)
DFT total energy, eV per atom: -2.84
ΔE_f (raw), eV/atom: -0.20
Volume, Å³ per atom: 25.08
Excess energy over the best structure of this formula in the dataset, meV per atom: 113.6


No. 7
VASP calculation (PBE) on crystalline CuBr2 at its relaxed geometry.

Cell: 12.2923 12.2923 3.9536 Å, 90.00 90.00 162.80°
Last column: nearest neighbours and their distance in Å.
Positions (direct):
Cu1 0.0861 0.9139 0.7500  4 Br 2.70
Cu2 0.9139 0.0861 0.2500  4 Br 2.70
Br1 0.2503 0.7497 0.2500  4 Br 2.70
Br2 0.4157 0.5843 0.7500  4 Cu 2.70
Br3 0.5843 0.4157 0.2500  4 Cu 2.70
Br4 0.7497 0.2503 0.7500  4 Br 2.70

Computed properties:
Density of states at the Fermi level, states/eV per cell: 2.34
SG: Cmcm (63)
DFT total energy, eV per atom: -2.32
ΔE_f (raw), eV/atom: 0.16
Volume, Å³ per atom: 29.44


No. 8
VASP calculation (PBE) on crystalline Cu5Br at its relaxed geometry.

Cell: 5.0527 5.0527 4.0984 Å, 90.00 90.00 120.00°
Last column: nearest neighbours and their distance in Å.
Positions (direct):
Cu1 0.0000 0.5000 0.0000  8 Cu 2.52-2.53
Cu2 0.3333 0.6667 0.5000  6 Cu 2.52
Cu3 0.5000 0.0000 0.0000  8 Cu 2.52-2.53
Cu4 0.5000 0.5000 0.0000  8 Cu 2.52-2.53
Cu5 0.6667 0.3333 0.5000  6 Cu 2.52
Br1 0.0000 0.0000 0.5000  18 Cu 2.92-3.25

Computed properties:
Density of states at the Fermi level, states/eV per cell: 3.71
SG: P6/mmm (191)
DFT total energy, eV per atom: -3.43
ΔE_f (raw), eV/atom: 0.26
Volume, Å³ per atom: 15.10
Excess energy over the best structure of this formula in the dataset, meV per atom: 79.8


No. 9
VASP calculation (PBE) on crystalline Cu3Br2 at its relaxed geometry.

Cell: 11.8121 6.7860 13.4696 Å, 61.24 30.24 88.52°
Last column: nearest neighbours and their distance in Å.
Positions (direct):
Cu1 0.0000 0.0000 0.0000  4 Cu 2.41-2.42
Cu2 0.2500 0.2500 0.2500  4 Cu 2.41-2.42
Cu3 0.3632 0.6364 0.4868  2 Cu 2.41-2.42, 2 Br 2.44-2.47
Cu4 0.6364 0.3632 0.5136  2 Cu 2.41-2.42, 2 Br 2.44-2.47
Cu5 0.7364 0.7632 0.6136  2 Cu 2.41-2.42, 2 Br 2.44-2.47
Cu6 0.7632 0.7364 0.8868  2 Cu 2.41-2.42, 2 Br 2.44-2.47
Br1 0.0738 0.7251 0.7669  2 Cu 2.44-2.47
Br2 0.4831 0.8158 0.1762  2 Cu 2.44-2.47
Br3 0.7251 0.0738 0.4342  2 Cu 2.44-2.47
Br4 0.8158 0.4831 0.5249  2 Cu 2.44-2.47

Computed properties:
Density of states at the Fermi level, states/eV per cell: 5.68
SG: Fdd2 (43)
DFT total energy, eV per atom: -2.86
ΔE_f (raw), eV/atom: 0.27
Volume, Å³ per atom: 22.38


No. 10
VASP calculation (PBE) on crystalline Cu2Br3 at its relaxed geometry.

Cell: 7.3273 7.3273 7.3273 Å, 53.20 53.20 53.20°
Last column: nearest neighbours and their distance in Å.
Positions (direct):
Cu1 0.0000 0.0000 0.0000  6 Br 2.63
Cu2 0.2500 0.2500 0.2500  3 Br 2.36
Cu3 0.5000 0.5000 0.5000  6 Br 2.63
Cu4 0.7500 0.7500 0.7500  3 Br 2.36
Br1 0.1091 0.7500 0.3909  3 Cu 2.36-2.63
Br2 0.2500 0.6091 0.8909  3 Cu 2.36-2.63
Br3 0.3909 0.1091 0.7500  3 Cu 2.36-2.63
Br4 0.6091 0.8909 0.2500  3 Cu 2.36-2.63
Br5 0.7500 0.3909 0.1091  3 Cu 2.36-2.63
Br6 0.8909 0.2500 0.6091  3 Cu 2.36-2.63

Computed properties:
Density of states at the Fermi level, states/eV per cell: 7.83
SG: R-3c (167)
DFT total energy, eV per atom: -2.88
ΔE_f (raw), eV/atom: -0.24
Volume, Å³ per atom: 23.38
Excess energy over the best structure of this formula in the dataset, meV per atom: 77.5


No. 11
VASP calculation (PBE) on crystalline Cu2Br3 at its relaxed geometry.

Cell: 6.9265 6.9265 6.8116 Å, 99.30 99.30 120.30°
Last column: nearest neighbours and their distance in Å.
Positions (direct):
Cu1 0.0837 0.9163 0.5000  4 Br 2.37-2.45
Cu2 0.2301 0.7261 0.9940  4 Br 2.37-2.46
Cu3 0.7261 0.2301 0.4940  4 Br 2.37-2.46
Cu4 0.9163 0.0837 0.0000  4 Br 2.37-2.45
Br1 0.1037 0.6082 0.6159  3 Cu 2.44-2.46
Br2 0.2770 0.4502 0.1246  2 Cu 2.37
Br3 0.4502 0.2770 0.6246  2 Cu 2.37
Br4 0.6082 0.1037 0.1159  3 Cu 2.44-2.46
Br5 0.7823 0.9449 0.6210  3 Cu 2.44-2.45
Br6 0.9449 0.7823 0.1210  3 Cu 2.44-2.45

Computed properties:
Density of states at the Fermi level, states/eV per cell: 13.85
SG: Cc (9)
DFT total energy, eV per atom: -2.95
ΔE_f (raw), eV/atom: -0.31
Volume, Å³ per atom: 26.69
Excess energy over the best structure of this formula in the dataset, meV per atom: 0.8


No. 12
VASP calculation (PBE) on crystalline CuBr3 at its relaxed geometry.

Cell: 11.4620 11.4620 11.4620 Å, 17.77 17.77 17.77°
Last column: nearest neighbours and their distance in Å.
Positions (direct):
Cu1 0.0000 0.0000 0.0000  6 Br 2.55
Br1 0.2883 0.2883 0.2883  3 Cu 2.55
Br2 0.5000 0.5000 0.5000  6 Br 3.54
Br3 0.7117 0.7117 0.7117  3 Cu 2.55

Computed properties:
Density of states at the Fermi level, states/eV per cell: 5.49
SG: R-3m (166)
DFT total energy, eV per atom: -2.25
ΔE_f (raw), eV/atom: 0.03
Volume, Å³ per atom: 30.60